No. 1
The following is a DFT calculation (SCAN) of a PBEsol-optimized structure of Hf2NiRuAu.

Unit cell a=4.750 b=4.942 c=4.942 alpha=90.00 beta=90.00 gamma=90.00
Each line ends with the local moment (μB).
Atoms (fractional coordinates):
Ni 0.500 0.500 0.500  1.17
Hf 0.000 0.000 0.500  -0.10
Hf 0.000 0.500 0.000  -0.10
Au 0.000 0.000 0.000  0.08
Ru 0.500 0.000 0.000  1.53

N(E_F) = 1.0350 states/eV per atom
E_form = 1.33 eV/atom

***

No. 2
The following is a DFT calculation (SCAN) of a PBEsol-optimized structure of Sc2AgHg.

Unit cell a=3.385 b=3.385 c=6.972 alpha=90.00 beta=90.00 gamma=90.00
Atoms (fractional coordinates):
Sc 0.000 0.000 0.759
Sc 0.000 0.000 0.241
Hg 0.500 0.500 0.500
Ag 0.500 0.500 0.000

N(E_F) = 0.7223 states/eV per atom
E_form = -0.52 eV/atom

***

No. 3
The following is a DFT calculation (SCAN) of a PBEsol-optimized structure of LiTcIr2.

Unit cell a=2.795 b=4.412 c=4.944 alpha=116.50 beta=106.42 gamma=90.00
Atoms (fractional coordinates):
Ir 0.766 0.766 0.533
Ir 0.234 0.234 0.467
Li 0.500 0.000 0.000
Tc 0.000 0.500 0.000

N(E_F) = 0.6119 states/eV per atom
excess energy over the best structure of this formula in the dataset = 85 meV per atom
E_form = -0.01 eV/atom

***

No. 4
The following is a DFT calculation (SCAN) of a PBEsol-optimized structure of Ni2Se3.

Unit cell a=3.417 b=3.417 c=8.303 alpha=90.00 beta=90.00 gamma=120.00
Atoms (fractional coordinates):
Ni 0.333 0.667 0.810
Ni 0.667 0.333 0.190
Se 0.000 0.000 0.000
Se 0.333 0.667 0.336
Se 0.667 0.333 0.664

N(E_F) = 0.8390 states/eV per atom
formation energy without anion corrections = -0.202 eV/atom

***

No. 5
The following is a DFT calculation (SCAN) of a PBEsol-optimized structure of NaSrCa2B.

Unit cell a=5.745 b=5.745 c=6.096 alpha=90.00 beta=90.00 gamma=90.00
Each line ends with the local moment (μB).
Atoms (fractional coordinates):
Sr 0.000 0.000 0.500  0.01
Ca 0.000 0.500 0.000  0.00
Ca 0.500 0.000 0.000  0.00
B 0.500 0.500 0.500  0.27
Na 0.000 0.000 0.000  -0.01

N(E_F) = 0.8162 states/eV per atom
E_form = 1.42 eV/atom

***

No. 6
The following is a DFT calculation (SCAN) of a PBEsol-optimized structure of Cs2AsPt.

Unit cell a=4.618 b=9.447 c=9.447 alpha=86.58 beta=75.85 gamma=75.85
Atoms (fractional coordinates):
Cs 0.805 0.820 0.320
Cs 0.945 0.180 0.680
Cs 0.375 0.680 0.820
Cs 0.875 0.320 0.180
As 0.500 0.000 0.000
As 0.250 0.500 0.500
Pt 0.000 0.000 0.000
Pt 0.750 0.500 0.500

N(E_F) = 0.3780 states/eV per atom
E_form = -0.43 eV/atom

***

No. 7
The following is a DFT calculation (SCAN) of a PBEsol-optimized structure of RbNbB2H.

Unit cell a=3.265 b=4.655 c=4.655 alpha=90.00 beta=90.00 gamma=90.00
Each line ends with the local moment (μB).
Atoms (fractional coordinates):
H 0.500 0.000 0.000  0.00
Nb 0.500 0.500 0.500  0.98
B 0.000 0.000 0.500  -0.07
B 0.000 0.500 0.000  -0.07
Rb 0.000 0.000 0.000  0.01

calculated total energy = -11.80 eV/atom
N(E_F) = 0.5456 states/eV per atom

***

No. 8
The following is a DFT calculation (SCAN) of a PBEsol-optimized structure of BaCu2Ag.

Unit cell a=4.957 b=4.957 c=4.957 alpha=60.00 beta=60.00 gamma=60.00
Atoms (fractional coordinates):
Ag 0.500 0.500 0.500
Ba 0.000 0.000 0.000
Cu 0.250 0.250 0.250
Cu 0.750 0.750 0.750

N(E_F) = 0.3230 states/eV per atom
E_form = 0.36 eV/atom

***

No. 9
The following is a DFT calculation (SCAN) of a PBEsol-optimized structure of AlNiAs2Br.

Unit cell a=4.773 b=4.773 c=4.841 alpha=90.00 beta=90.00 gamma=90.00
Each line ends with the local moment (μB).
Atoms (fractional coordinates):
Ni 0.500 0.500 0.500  1.08
As 0.000 0.500 0.000  -0.15
As 0.500 0.000 0.000  -0.15
Al 0.000 0.000 0.000  0.00
Br 0.000 0.000 0.500  -0.09

N(E_F) = 0.9960 states/eV per atom
formation energy without anion corrections = 0.846 eV/atom

***

No. 10
The following is a DFT calculation (SCAN) of a PBEsol-optimized structure of Cd2AsP.

Unit cell a=4.008 b=4.008 c=5.613 alpha=110.92 beta=110.92 gamma=90.00
Atoms (fractional coordinates):
As 0.250 0.750 0.500
Cd 0.000 0.000 0.000
Cd 0.750 0.250 0.500
P 0.500 0.500 0.000

N(E_F) = 0.4495 states/eV per atom
excess energy over the best structure of this formula in the dataset = 79 meV per atom
E_form = 0.38 eV/atom

***

No. 11
The following is a DFT calculation (SCAN) of a PBEsol-optimized structure of YCoSe.

Unit cell a=3.708 b=3.708 c=4.854 alpha=112.45 beta=112.45 gamma=90.00
Each line ends with the local moment (μB).
Atoms (fractional coordinates):
Co 0.968 0.968 0.935  1.35
Se 0.687 0.687 0.375  0.00
Y 0.345 0.345 0.690  -0.17

N(E_F) = 0.6051 states/eV per atom
formation energy without anion corrections = -0.406 eV/atom

***

No. 12
The following is a DFT calculation (SCAN) of a PBEsol-optimized structure of Hf3HgC.

Unit cell a=3.236 b=3.236 c=10.036 alpha=80.72 beta=80.72 gamma=60.00
Atoms (fractional coordinates):
C 0.163 0.163 0.510
Hf 0.790 0.790 0.630
Hf 0.960 0.960 0.120
Hf 0.543 0.543 0.371
Hg 0.374 0.374 0.877

N(E_F) = 0.3601 states/eV per atom
excess energy over the best structure of this formula in the dataset = 26 meV per atom
E_form = -0.55 eV/atom

***

No. 13
The following is a DFT calculation (SCAN) of a PBEsol-optimized structure of Zr2CdSb.

Unit cell a=3.207 b=3.207 c=9.969 alpha=80.74 beta=80.74 gamma=60.00
Atoms (fractional coordinates):
Cd 0.500 0.500 0.500
Sb 0.000 0.000 0.000
Zr 0.251 0.251 0.246
Zr 0.749 0.749 0.754

N(E_F) = 0.5987 states/eV per atom
formation energy without anion corrections = -0.176 eV/atom

***

No. 14
The following is a DFT calculation (SCAN) of a PBEsol-optimized structure of Li3Ni.

Unit cell a=2.624 b=2.624 c=9.210 alpha=81.81 beta=81.81 gamma=60.00
Each line ends with the local moment (μB).
Atoms (fractional coordinates):
Ni 0.000 0.000 0.000  0.33
Li 0.739 0.739 0.782  0.00
Li 0.500 0.500 0.500  0.00
Li 0.261 0.261 0.218  0.00

N(E_F) = 0.3584 states/eV per atom
E_form = 0.10 eV/atom

***

No. 15
The following is a DFT calculation (SCAN) of a PBEsol-optimized structure of BaWO4.

Unit cell a=3.956 b=5.928 c=7.480 alpha=90.00 beta=105.33 gamma=90.00
Atoms (fractional coordinates):
Ba 0.142 0.250 0.283
Ba 0.858 0.750 0.717
W 0.405 0.250 0.810
W 0.595 0.750 0.190
O 0.500 0.500 0.000
O 0.682 0.970 0.365
O 0.082 0.750 0.164
O 0.918 0.250 0.836
O 0.682 0.530 0.365
O 0.318 0.030 0.635
O 0.318 0.470 0.635
O 0.500 0.000 0.000

N(E_F) = 0.0000 states/eV per atom
excess energy over the best structure of this formula in the dataset = 120 meV per atom
formation energy without anion corrections = -2.704 eV/atom

***

No. 16
The following is a DFT calculation (SCAN) of a PBEsol-optimized structure of NbGaTeN2.

Unit cell a=3.920 b=3.920 c=5.363 alpha=90.00 beta=90.00 gamma=90.00
Each line ends with the local moment (μB).
Atoms (fractional coordinates):
Nb 0.500 0.500 0.500  -2.04
Te 0.000 0.000 0.500  0.19
Ga 0.000 0.000 0.000  -0.06
N 0.000 0.500 0.000  0.93
N 0.500 0.000 0.000  0.93

N(E_F) = 0.4026 states/eV per atom
formation energy without anion corrections = 1.204 eV/atom

***

No. 17
The following is a DFT calculation (SCAN) of a PBEsol-optimized structure of WC2.

Unit cell a=2.763 b=3.312 c=3.312 alpha=120.00 beta=90.00 gamma=90.00
Atoms (fractional coordinates):
C 0.500 0.667 0.333
C 0.500 0.333 0.667
W 0.000 0.000 0.000

N(E_F) = 0.7497 states/eV per atom
excess energy over the best structure of this formula in the dataset = 1639 meV per atom
E_form = 2.30 eV/atom

***

No. 18
The following is a DFT calculation (SCAN) of a PBEsol-optimized structure of LaYOs2.

Unit cell a=4.076 b=4.076 c=5.628 alpha=111.23 beta=111.23 gamma=90.00
Atoms (fractional coordinates):
La 0.250 0.750 0.500
Os 0.000 0.000 0.000
Os 0.750 0.250 0.500
Y 0.500 0.500 0.000

N(E_F) = 1.2391 states/eV per atom
excess energy over the best structure of this formula in the dataset = 613 meV per atom
E_form = 0.37 eV/atom

***

No. 19
The following is a DFT calculation (SCAN) of a PBEsol-optimized structure of NaSr2SiAg.

Unit cell a=4.736 b=6.076 c=6.076 alpha=90.00 beta=90.00 gamma=90.00
Atoms (fractional coordinates):
Sr 0.000 0.000 0.500
Sr 0.000 0.500 0.000
Si 0.000 0.000 0.000
Ag 0.500 0.000 0.000
Na 0.500 0.500 0.500

N(E_F) = 0.1880 states/eV per atom
formation energy without anion corrections = -0.048 eV/atom

***

No. 20
The following is a DFT calculation (SCAN) of a PBEsol-optimized structure of LiZn4Hg.

Unit cell a=5.084 b=5.084 c=5.084 alpha=60.00 beta=60.00 gamma=60.00
Atoms (fractional coordinates):
Zn 0.375 0.375 0.375
Zn 0.375 0.375 0.876
Zn 0.876 0.375 0.375
Zn 0.375 0.876 0.375
Hg 0.750 0.750 0.750
Li 0.000 0.000 0.000

N(E_F) = 0.3878 states/eV per atom
E_form = -0.10 eV/atom